Model one:
# YSc2Br

YSc2Br after structural relaxation (PBE, Alexandria via LeMat-Bulk).

Cell: 3.3849 3.3849 8.9866 Å, 90.00 90.00 90.00°
Space group P4mm (No. 99)
One atom of each set of equivalent atoms:
Y 0.0000 0.0000 0.0000 (multiplicity 1)
Sc 0.0000 0.0000 0.4919 (multiplicity 1)
Sc 0.5000 0.5000 0.7291 (multiplicity 1)
Br 0.5000 0.5000 0.2491 (multiplicity 1)

Computed properties:
Its spin magnetization is 0.0 μB/f.u.

***

Model two:
# YSc2Br

YSc2Br after structural relaxation (PBE, Alexandria via LeMat-Bulk).

Cell: 7.4585 7.4585 7.4585 Å, 90.00 90.00 90.00°
Space group Fm-3m (No. 225)
One atom of each set of equivalent atoms:
Y 0.0000 0.0000 0.0000 (multiplicity 4)
Sc 0.2500 0.2500 0.2500 (multiplicity 8)
Br 0.0000 0.0000 0.5000 (multiplicity 4)

Computed properties:
Its spin magnetization is 0.0 μB/f.u.

***

Here is how they stack up, most stable first: model one, model two.

***

Model one:
# YSc2Br

YSc2Br after structural relaxation (PBE, Alexandria via LeMat-Bulk).

Cell: 3.8978 5.5759 9.5127 Å, 90.00 90.00 90.00°
Space group Cmm2 (No. 35)
One atom of each set of equivalent atoms:
Y 0.0000 0.0000 0.0000 (multiplicity 2)
Sc 0.0000 0.0000 0.5169 (multiplicity 2)
Sc 0.0000 0.5000 0.2691 (multiplicity 2)
Br 0.0000 0.5000 0.7467 (multiplicity 2)

Computed properties:
Its spin magnetization is 0.0 μB/f.u.

***

Model two:
# YSc2Br

YSc2Br after structural relaxation (PBE, Alexandria via LeMat-Bulk).

Cell: 3.6020 5.0558 5.9206 Å, 90.00 106.77 90.00°
Space group P2/m (No. 10)
One atom of each set of equivalent atoms:
Y 0.0000 0.0000 0.0000 (multiplicity 1)
Sc 0.3840 0.5000 0.7359 (multiplicity 2)
Br 0.5000 0.0000 0.5000 (multiplicity 1)

Computed properties:
Its spin magnetization is 0.0 μB/f.u.

***

Here is how they stack up, most stable first: model one, model two.

***

Model one:
# Y2ScBr

Y2ScBr after structural relaxation (PBE, Alexandria via LeMat-Bulk).

Cell: 4.2756 5.4812 9.4592 Å, 90.00 90.00 90.00°
Space group Cmmm (No. 65)
One atom of each set of equivalent atoms:
Y 0.0000 0.0000 0.2462 (multiplicity 4)
Sc 0.0000 0.5000 0.5000 (multiplicity 2)
Br 0.0000 0.5000 0.0000 (multiplicity 2)

Computed properties:
Its spin magnetization is 0.0 μB/f.u.

***

Model two:
# Y2ScBr

Y2ScBr after structural relaxation (PBE, Alexandria via LeMat-Bulk).

Cell: 12.4647 3.4914 5.9312 Å, 90.00 118.22 90.00°
Space group C2/m (No. 12)
One atom of each set of equivalent atoms:
Y 0.2228 0.0000 0.2231 (multiplicity 4)
Sc 0.0000 0.0000 0.5000 (multiplicity 2)
Br 0.0000 0.5000 0.0000 (multiplicity 2)

Computed properties:
Its spin magnetization is 0.0 μB/f.u.

***

Model three:
# Y2ScBr

Y2ScBr after structural relaxation (PBE, Alexandria via LeMat-Bulk).

Cell: 3.4652 3.4652 9.2999 Å, 90.00 90.00 90.00°
Space group P4mm (No. 99)
One atom of each set of equivalent atoms:
Y 0.0000 0.0000 0.0000 (multiplicity 1)
Y 0.5000 0.5000 0.2781 (multiplicity 1)
Sc 0.5000 0.5000 0.7538 (multiplicity 1)
Br 0.0000 0.0000 0.5164 (multiplicity 1)

Computed properties:
Its spin magnetization is 0.0 μB/f.u.

***

Model four:
# Y2ScBr

Y2ScBr after structural relaxation (PBE, Alexandria via LeMat-Bulk).

Cell: 3.6038 3.6038 29.7987 Å, 90.00 90.00 120.00°
Space group R-3m (No. 166, hexagonal axes)
One atom of each set of equivalent atoms:
Y 0.0000 0.0000 0.2452 (multiplicity 6)
Sc 0.0000 0.0000 0.0000 (multiplicity 3)
Br 0.0000 0.0000 0.5000 (multiplicity 3)

Computed properties:
Its spin magnetization is 0.0 μB/f.u.

***

Here is how they stack up, most stable first: model four, model one, model three, model two.

***

Model one:
# Y2ScBr

Y2ScBr after structural relaxation (PBE, Alexandria via LeMat-Bulk).

Cell: 3.7954 5.8976 10.0429 Å, 90.00 90.00 90.00°
Space group Cmm2 (No. 35)
One atom of each set of equivalent atoms:
Y 0.0000 0.0000 0.0000 (multiplicity 2)
Y 0.0000 0.5000 0.2809 (multiplicity 2)
Sc 0.0000 0.0000 0.5408 (multiplicity 2)
Br 0.0000 0.5000 0.7587 (multiplicity 2)

Computed properties:
Its spin magnetization is 0.7 μB/f.u.

***

Model two:
# Y2ScBr

Y2ScBr after structural relaxation (PBE, Alexandria via LeMat-Bulk).

Cell: 3.6079 3.5625 9.3052 Å, 90.00 90.07 90.00°
Space group P2/m (No. 10)
One atom of each set of equivalent atoms:
Y 0.0009 0.0000 0.2381 (multiplicity 2)
Sc 0.5000 0.5000 0.0000 (multiplicity 1)
Br 0.0000 0.5000 0.5000 (multiplicity 1)

Computed properties:
Its spin magnetization is 0.0 μB/f.u.

***

Model three:
# Y2ScBr

Y2ScBr after structural relaxation (PBE, Alexandria via LeMat-Bulk).

Cell: 8.5994 8.5994 6.3108 Å, 90.00 90.00 90.00°
Space group I-42d (No. 122)
One atom of each set of equivalent atoms:
Y 0.1899 0.2500 0.1250 (multiplicity 8)
Sc 0.0000 0.0000 0.5000 (multiplicity 4)
Br 0.0000 0.0000 0.0000 (multiplicity 4)

Computed properties:
Its spin magnetization is 0.0 μB/f.u.

***

Here is how they stack up, most stable first: model two, model one, model three.